Record 1
## NdYSb2 (PBE)

Data for a relaxed NdYSb2 crystal.

Values from the calculation:
raw total energy	-6.03	eV/atom

```
data_NdYSb2
_chemical_formula_sum 'Nd1 Y1 Sb2'
_cell_length_a 4.458
_cell_length_b 4.458
_cell_length_c 6.306
_cell_angle_alpha 90.00
_cell_angle_beta 90.00
_cell_angle_gamma 90.00
_symmetry_space_group_name_H-M 'P 4/m m m'
_symmetry_Int_Tables_number 123
_symmetry_space_group_name_Hall '-P 4 2'
loop_
_atom_site_label
_atom_site_type_symbol
_atom_site_fract_x
_atom_site_fract_y
_atom_site_fract_z
Nd1 Nd 0.000 0.000 0.000
Y1 Y 0.500 0.500 0.500
Sb1 Sb 0.000 0.000 0.500
Sb2 Sb 0.500 0.500 0.000
```


Record 2
## CdFeTcSn (PBE)

Data for a relaxed CdFeTcSn crystal.

Values from the calculation:
raw total energy	-5.51	eV/atom
excess energy over the best structure of this formula in the dataset	0.0	kJ per mole of atoms

```
data_CdFeTcSn
_chemical_formula_sum 'Cd4 Fe4 Tc4 Sn4'
_cell_length_a 6.422
_cell_length_b 6.422
_cell_length_c 6.422
_cell_angle_alpha 90.00
_cell_angle_beta 90.00
_cell_angle_gamma 90.00
_symmetry_space_group_name_H-M 'F -4 3 m'
_symmetry_Int_Tables_number 216
_symmetry_space_group_name_Hall 'F -4 2 3'
loop_
_atom_site_label
_atom_site_type_symbol
_atom_site_fract_x
_atom_site_fract_y
_atom_site_fract_z
Cd1 Cd 0.000 0.000 0.000
Fe1 Fe 0.250 0.250 0.750
Tc1 Tc 0.250 0.250 0.250
Sn1 Sn 0.000 0.000 0.500
```


Record 3
## KHoNO (PBE)

Data for a relaxed KHoNO crystal.

Values from the calculation:
raw total energy	-5.63	eV/atom
excess energy over the best structure of this formula in the dataset	40.6	kJ per mole of atoms

```
data_KHoNO
_chemical_formula_sum 'K2 Ho2 N2 O2'
_cell_length_a 3.891
_cell_length_b 3.891
_cell_length_c 8.758
_cell_angle_alpha 90.00
_cell_angle_beta 90.00
_cell_angle_gamma 90.00
_symmetry_space_group_name_H-M 'P 4/n m m'
_symmetry_Int_Tables_number 129
loop_
_symmetry_equiv_pos_as_xyz
'x,y,z'
'-x,-y,-z'
'-y+1/2,x,z'
'y+1/2,-x,-z'
'-x+1/2,-y+1/2,z'
'x+1/2,y+1/2,-z'
'y,-x+1/2,z'
'-y,x+1/2,-z'
'x+1/2,-y,-z'
'-x+1/2,y,z'
'-y,-x,-z'
'y,x,z'
'-x,y+1/2,-z'
'x,-y+1/2,z'
'y+1/2,x+1/2,-z'
'-y+1/2,-x+1/2,z'
loop_
_atom_site_label
_atom_site_type_symbol
_atom_site_fract_x
_atom_site_fract_y
_atom_site_fract_z
K1 K 0.250 0.750 0.000
Ho1 Ho 0.250 0.250 0.377
N1 N 0.250 0.250 0.790
O1 O 0.250 0.750 0.500
```


Record 4
## TmZrGe4 (PBE)

Data for a relaxed TmZrGe4 crystal.

Values from the calculation:
raw total energy	-5.86	eV/atom

```
data_TmZrGe4
_chemical_formula_sum 'Tm2 Zr2 Ge8'
_cell_length_a 3.842
_cell_length_b 3.919
_cell_length_c 15.517
_cell_angle_alpha 90.00
_cell_angle_beta 90.00
_cell_angle_gamma 90.00
_symmetry_space_group_name_H-M 'A m m 2'
_symmetry_Int_Tables_number 38
loop_
_symmetry_equiv_pos_as_xyz
'x,y,z'
'-x,-y,z'
'-x,y,z'
'x,-y,z'
'x,y+1/2,z+1/2'
'-x,-y+1/2,z+1/2'
'-x,y+1/2,z+1/2'
'x,-y+1/2,z+1/2'
loop_
_atom_site_label
_atom_site_type_symbol
_atom_site_fract_x
_atom_site_fract_y
_atom_site_fract_z
Tm1 Tm 0.000 0.000 0.000
Zr1 Zr 0.500 0.000 0.210
Ge1 Ge 0.000 0.000 0.352
Ge2 Ge 0.000 0.000 0.665
Ge3 Ge 0.500 0.000 0.553
Ge4 Ge 0.500 0.000 0.850
```


Record 5
## HoCdCo (PBE)

Data for a relaxed HoCdCo crystal.

Values from the calculation:
raw total energy	-3.57	eV/atom

```
data_HoCdCo
_chemical_formula_sum 'Ho4 Cd4 Co4'
_cell_length_a 6.565
_cell_length_b 6.565
_cell_length_c 6.565
_cell_angle_alpha 90.00
_cell_angle_beta 90.00
_cell_angle_gamma 90.00
_symmetry_space_group_name_H-M 'F -4 3 m'
_symmetry_Int_Tables_number 216
_symmetry_space_group_name_Hall 'F -4 2 3'
loop_
_atom_site_label
_atom_site_type_symbol
_atom_site_fract_x
_atom_site_fract_y
_atom_site_fract_z
Ho1 Ho 0.000 0.000 0.000
Cd1 Cd 0.250 0.250 0.250
Co1 Co 0.250 0.250 0.750
```


Record 6
## MgBeZnAs (PBE)

Data for a relaxed MgBeZnAs crystal.

Values from the calculation:
raw total energy	-2.48	eV/atom
excess energy over the best structure of this formula in the dataset	5.9	kJ per mole of atoms

```
data_MgBeZnAs
_chemical_formula_sum 'Mg4 Be4 Zn4 As4'
_cell_length_a 6.427
_cell_length_b 6.427
_cell_length_c 6.427
_cell_angle_alpha 90.00
_cell_angle_beta 90.00
_cell_angle_gamma 90.00
_symmetry_space_group_name_H-M 'F -4 3 m'
_symmetry_Int_Tables_number 216
_symmetry_space_group_name_Hall 'F -4 2 3'
loop_
_atom_site_label
_atom_site_type_symbol
_atom_site_fract_x
_atom_site_fract_y
_atom_site_fract_z
Mg1 Mg 0.000 0.000 0.000
Be1 Be 0.250 0.250 0.750
Zn1 Zn 0.000 0.000 0.500
As1 As 0.250 0.250 0.250
```


Record 7
## Nb4GaC3 (PBE)

Data for a relaxed Nb4GaC3 crystal.

Values from the calculation:
raw total energy	-9.42	eV/atom

```
data_Nb4GaC3
_chemical_formula_sum 'Nb8 Ga2 C6'
_cell_length_a 3.1664
_cell_length_b 3.1664
_cell_length_c 24.0966
_cell_angle_alpha 90.00
_cell_angle_beta 90.00
_cell_angle_gamma 120.00
_symmetry_space_group_name_H-M 'P 63/m m c'
_symmetry_Int_Tables_number 194
_symmetry_space_group_name_Hall '-P 6c 2c'
loop_
_atom_site_label
_atom_site_type_symbol
_atom_site_fract_x
_atom_site_fract_y
_atom_site_fract_z
Nb1 Nb 0.0000 0.0000 0.1584
Nb2 Nb 0.3333 0.6667 0.0557
Ga1 Ga 0.3333 0.6667 0.2500
C1 C 0.0000 0.0000 0.0000
C2 C 0.3333 0.6667 0.6097
```


Record 8
## CoRe (PBE)

Data for a relaxed CoRe crystal.

Values from the calculation:
raw total energy	-9.84	eV/atom

```
data_CoRe
_chemical_formula_sum 'Co2 Re2'
_cell_length_a 4.189
_cell_length_b 2.621
_cell_length_c 4.529
_cell_angle_alpha 90.00
_cell_angle_beta 90.00
_cell_angle_gamma 90.00
_symmetry_space_group_name_H-M 'P m m a'
_symmetry_Int_Tables_number 51
loop_
_symmetry_equiv_pos_as_xyz
'x,y,z'
'-x,-y,-z'
'-x+1/2,-y,z'
'x+1/2,y,-z'
'x+1/2,-y,-z'
'-x+1/2,y,z'
'-x,y,-z'
'x,-y,z'
loop_
_atom_site_label
_atom_site_type_symbol
_atom_site_fract_x
_atom_site_fract_y
_atom_site_fract_z
Co1 Co 0.250 0.000 0.160
Re1 Re 0.250 0.500 0.675
```


- The highest raw total energy belongs to which entry?
  MgBeZnAs